# Li3Cd2Au2

A relaxed structure of Li3Cd2Au2 (PBE-GGA, the Alexandria database).

Results
As for the volume: 17.6 Å³/atom. The formation energy is -2.77 eV per formula unit. For the magnetic moment, the calculation gives 0.00 μB/f.u. The space group is No. 12.

abc: 4.1223 5.0275 6.6224
angles: 99.90 90.00 114.20
Element x y z (fractional)
Li 0.3466 0.6933 0.5754
Cd 0.0672 0.1344 0.7209
Li 0.5000 0.0000 0.0000
Au 0.7832 0.5664 0.8391
Li 0.6534 0.3067 0.4246
Au 0.2168 0.4336 0.1609
Cd 0.9328 0.8656 0.2791

# Li8CdAu5

A relaxed structure of Li8CdAu5 (PBE-GGA, the Alexandria database).

Results
As for the volume: 16.9 Å³/atom. The formation energy is -5.53 eV per formula unit. For the magnetic moment, the calculation gives 0.00 μB/f.u. The space group is No. 82.

abc: 6.7505 6.7505 6.7505
angles: 110.97 106.52 110.97
Element x y z (fractional)
Au 0.5000 0.0000 0.5000
Li 0.6592 0.3965 0.9193
Li 0.6043 0.9344 0.8608
Au 0.7859 0.6526 0.6960
Au 0.8667 0.9101 0.2141
Li 0.1392 0.7435 0.0735
Li 0.3300 0.2565 0.3957
Li 0.9265 0.0656 0.6700
Li 0.5228 0.6035 0.2628
Li 0.0807 0.7399 0.4772
Au 0.3040 0.0899 0.9566
Li 0.7372 0.2601 0.3408
Au 0.0434 0.3474 0.1333
Cd 0.2500 0.5000 0.7500

# Li2Cd4Au3

A relaxed structure of Li2Cd4Au3 (PBE-GGA, the Alexandria database).

Results
As for the volume: 18.6 Å³/atom. The formation energy is -2.95 eV per formula unit. For the magnetic moment, the calculation gives 0.00 μB/f.u. The space group is No. 2.

abc: 4.3208 5.0446 8.7930
angles: 77.32 90.71 64.41
Element x y z (fractional)
Au 0.0000 0.0000 0.0000
Cd 0.3383 0.3249 0.1066
Au 0.3316 0.3344 0.4350
Cd 0.9891 0.0214 0.6662
Li 0.3243 0.3529 0.7621
Cd 0.6617 0.6751 0.8934
Cd 0.0109 0.9786 0.3338
Li 0.6757 0.6471 0.2379
Au 0.6684 0.6656 0.5650

# Li3CdAu6

A relaxed structure of Li3CdAu6 (PBE-GGA, the Alexandria database).

Results
As for the volume: 18.3 Å³/atom. The formation energy is -3.03 eV per formula unit. The polymorph energy (0 for the lowest one) comes out at 0.0843 eV per atom. For the magnetic moment, the calculation gives 0.00 μB/f.u. The space group is No. 36.

abc: 5.3260 8.5323 8.5323
angles: 109.52 90.00 90.00
Element x y z (fractional)
Li 0.9958 0.1006 0.2874
Li 0.9958 0.7126 0.8994
Au 0.5683 0.3031 0.4046
Li 0.1058 0.3865 0.6135
Au 0.0683 0.6969 0.5954
Au 0.7973 0.0159 0.9841
Li 0.4958 0.8994 0.7126
Au 0.0683 0.4046 0.3031
Au 0.3566 0.0289 0.4793
Au 0.8566 0.4793 0.0289
Li 0.6058 0.6135 0.3865
Cd 0.6192 0.8229 0.1771
Au 0.1214 0.7457 0.2543
Cd 0.1192 0.1771 0.8229
Au 0.3566 0.5207 0.9711
Au 0.6214 0.2543 0.7457
Au 0.8566 0.9711 0.5207
Li 0.4958 0.2874 0.1006
Au 0.5683 0.5954 0.6969
Au 0.2973 0.9841 0.0159

# LiCd8Au2

A relaxed structure of LiCd8Au2 (PBE-GGA, the Alexandria database).

Results
As for the volume: 22.0 Å³/atom. The formation energy is -1.04 eV per formula unit. The polymorph energy (0 for the lowest one) comes out at 0.0070 eV per atom. For the magnetic moment, the calculation gives 0.00 μB/f.u. The space group is No. 12.

abc: 5.2524 7.5217 7.5102
angles: 59.95 80.49 70.73
Element x y z (fractional)
Li 0.5000 0.0000 0.0000
Cd 0.8331 0.3157 0.7733
Cd 0.5000 0.2260 0.5480
Cd 0.7053 0.6099 0.0000
Cd 0.2947 0.3901 0.0000
Au 0.0000 0.3074 0.3851
Au 0.0000 0.6926 0.6149
Cd 0.8331 0.0890 0.2267
Cd 0.5000 0.7740 0.4520
Cd 0.1669 0.9110 0.7733
Cd 0.1669 0.6843 0.2267

# LiCd2Au

A relaxed structure of LiCd2Au (PBE-GGA, the Alexandria database).

Results
As for the volume: 18.9 Å³/atom. The formation energy is -1.19 eV per formula unit. The polymorph energy (0 for the lowest one) comes out at 0.0415 eV per atom. For the magnetic moment, the calculation gives 0.00 μB/f.u. The space group is No. 123.

abc: 4.2752 4.2751 4.1285
angles: 90.00 90.00 90.00
Element x y z (fractional)
Cd 0.0000 0.0000 0.0000
Au 0.0000 0.5000 0.5000
Li 0.5000 0.0000 0.5000
Cd 0.5000 0.5000 0.0000